1.
{"formula": "Pr3Hg2Pd", "functional": "PBE", "state": "optimized geometry", "lattice_angstrom": [[7.6593, -3.1018, 0.0000], [7.6593, 3.1018, 0.0000], [-2.0913, 0.0000, 7.7269]], "species": ["Pr", "Pr", "Pr", "Pr", "Pr", "Pr", "Hg", "Hg", "Hg", "Hg", "Pd", "Pd"], "fractional_positions": [[0.0011, 0.9989, 0.7500], [0.3572, 0.3588, 0.9295], [0.3588, 0.3572, 0.4295], [0.6412, 0.6428, 0.5705], [0.6428, 0.6412, 0.0705], [0.9989, 0.0011, 0.2500], [0.1821, 0.1838, 0.5924], [0.1838, 0.1821, 0.0924], [0.8162, 0.8179, 0.9076], [0.8179, 0.8162, 0.4076], [0.4992, 0.5008, 0.2500], [0.5008, 0.4992, 0.7500]], "total_magnetization_mub_per_fu": 0.00}



2.
{"formula": "Pr4HgPd3", "functional": "PBE", "state": "optimized geometry", "lattice_angstrom": [[3.9272, 0.0000, 0.0000], [0.0000, 4.7562, 0.0000], [0.0000, 0.0000, 11.2601]], "species": ["Pr", "Pr", "Pr", "Pr", "Hg", "Pd", "Pd", "Pd"], "fractional_positions": [[0.0000, 0.0000, 0.0000], [0.0000, 0.5000, 0.2614], [0.5000, 0.0000, 0.4766], [0.5000, 0.5000, 0.7710], [0.0000, 0.0000, 0.7063], [0.0000, 0.5000, 0.5391], [0.5000, 0.0000, 0.2104], [0.5000, 0.5000, 0.0447]], "total_magnetization_mub_per_fu": 0.00}



3.
{"formula": "Pr2HgPd", "functional": "PBE", "state": "optimized geometry", "lattice_angstrom": [[0.0000, 3.7596, 3.7596], [3.7596, 0.0000, 3.7596], [3.7596, 3.7596, 0.0000]], "species": ["Pr", "Pr", "Hg", "Pd"], "fractional_positions": [[0.2500, 0.2500, 0.2500], [0.7500, 0.7500, 0.7500], [0.0000, 0.0000, 0.0000], [0.5000, 0.5000, 0.5000]], "total_magnetization_mub_per_fu": 0.00}



4.
{"formula": "Pr5Hg4Pd", "functional": "PBE", "state": "optimized geometry", "lattice_angstrom": [[3.8233, 0.0000, 0.0000], [0.0000, 3.8233, 0.0000], [0.0000, 0.0000, 19.0747]], "species": ["Pr", "Pr", "Pr", "Pr", "Pr", "Hg", "Hg", "Hg", "Hg", "Pd"], "fractional_positions": [[0.0000, 0.0000, 0.0000], [0.0000, 0.0000, 0.2057], [0.0000, 0.0000, 0.4107], [0.0000, 0.0000, 0.5893], [0.0000, 0.0000, 0.7943], [0.5000, 0.5000, 0.1031], [0.5000, 0.5000, 0.3063], [0.5000, 0.5000, 0.6937], [0.5000, 0.5000, 0.8969], [0.5000, 0.5000, 0.5000]], "total_magnetization_mub_per_fu": 1.12}



5.
{"formula": "PrHg2Pd9", "functional": "PBE", "state": "optimized geometry", "lattice_angstrom": [[4.1257, 0.0000, 0.0000], [0.0000, 4.1257, 0.0000], [0.0000, 0.0000, 12.2751]], "species": ["Pr", "Hg", "Hg", "Pd", "Pd", "Pd", "Pd", "Pd", "Pd", "Pd", "Pd", "Pd"], "fractional_positions": [[0.0000, 0.0000, 0.0000], [0.0000, 0.0000, 0.3396], [0.0000, 0.0000, 0.6604], [0.0000, 0.5000, 0.1758], [0.0000, 0.5000, 0.5000], [0.0000, 0.5000, 0.8242], [0.5000, 0.0000, 0.1758], [0.5000, 0.0000, 0.5000], [0.5000, 0.0000, 0.8242], [0.5000, 0.5000, 0.0000], [0.5000, 0.5000, 0.3360], [0.5000, 0.5000, 0.6640]], "total_magnetization_mub_per_fu": 0.00}



6.
{"formula": "Pr6Hg2Pd", "functional": "PBE", "state": "optimized geometry", "lattice_angstrom": [[9.0045, 0.0000, 0.0000], [-4.5022, 7.7981, 0.0000], [0.0000, 0.0000, 3.8623]], "species": ["Pr", "Pr", "Pr", "Pr", "Pr", "Pr", "Hg", "Hg", "Pd"], "fractional_positions": [[0.0000, 0.2506, 0.0000], [0.0000, 0.5972, 0.5000], [0.2506, 0.0000, 0.0000], [0.4028, 0.4028, 0.5000], [0.5972, 0.0000, 0.5000], [0.7494, 0.7494, 0.0000], [0.3333, 0.6667, 0.0000], [0.6667, 0.3333, 0.0000], [0.0000, 0.0000, 0.5000]], "total_magnetization_mub_per_fu": 0.00}



7.
{"formula": "PrHg6Pd12", "functional": "PBE", "state": "optimized geometry", "lattice_angstrom": [[6.0582, 3.4977, 2.9527], [-6.0582, 3.4977, 2.9527], [0.0000, -6.9954, 2.9527]], "species": ["Pr", "Hg", "Hg", "Hg", "Hg", "Hg", "Hg", "Pd", "Pd", "Pd", "Pd", "Pd", "Pd", "Pd", "Pd", "Pd", "Pd", "Pd", "Pd"], "fractional_positions": [[0.0000, 0.0000, 0.0000], [0.2963, 0.2963, 0.7009], [0.2963, 0.7009, 0.2963], [0.2991, 0.7037, 0.7037], [0.7009, 0.2963, 0.2963], [0.7037, 0.2991, 0.7037], [0.7037, 0.7037, 0.2991], [0.1118, 0.3499, 0.3499], [0.1121, 0.5000, 0.8879], [0.1121, 0.8879, 0.5000], [0.3499, 0.1118, 0.3499], [0.3499, 0.3499, 0.1118], [0.5000, 0.1121, 0.8879], [0.5000, 0.8879, 0.1121], [0.6501, 0.6501, 0.8882], [0.6501, 0.8882, 0.6501], [0.8879, 0.1121, 0.5000], [0.8879, 0.5000, 0.1121], [0.8882, 0.6501, 0.6501]], "total_magnetization_mub_per_fu": 0.00}



8.
{"formula": "PrHg3Pd", "functional": "PBE", "state": "optimized geometry", "lattice_angstrom": [[-2.8000, 2.8000, 9.2843], [2.8000, -2.8000, 9.2843], [2.8000, 2.8000, -9.2843]], "species": ["Pr", "Pr", "Hg", "Hg", "Hg", "Hg", "Hg", "Hg", "Pd", "Pd"], "fractional_positions": [[0.1853, 0.1853, 0.0000], [0.8147, 0.8147, 0.0000], [0.3751, 0.1290, 0.7539], [0.3751, 0.6213, 0.2461], [0.3787, 0.6249, 0.7539], [0.5570, 0.0570, 0.5000], [0.8710, 0.6249, 0.2461], [0.9430, 0.4430, 0.5000], [0.2500, 0.7500, 0.5000], [0.5000, 0.5000, 0.0000]], "total_magnetization_mub_per_fu": 0.00}



Record-wise calculated volume values, in Å³/cell: 367.15; 210.32; 106.28; 278.83; 208.94; 271.23; 375.40; 291.15
Record-wise total DFT energy (no corrections) values, in eV/cell: -45.27; -40.49; -17.24; -35.46; -55.73; -37.91; -70.64; -22.83
Record-wise formation energy values, in eV/atom: -0.416; -0.686; -0.547; -0.516; -0.301; -0.382; -0.091; -0.108